Density functional theory data (PBE) for a geometry-optimized Ac2SnBi5 structure.

Lattice parameters (Å, degrees): 7.275 7.272 7.130 120.36 120.37 90.50
Sites, in units of the cell vectors:
1 Ac 0.222 0.722 0.444
2 Bi 0.722 0.722 0.944
3 Bi 0.722 0.222 0.944
4 Ac 0.722 0.222 0.444
5 Bi 0.222 0.222 0.944
6 Bi 0.222 0.722 0.944
7 Sn 0.222 0.222 0.443
8 Bi 0.722 0.722 0.445

Uncorrected energy ... -4.480 eV per atom
Space-group type ... No. 42
DOS at the Fermi energy ... 0.51 states/eV per atom
Total moment ... 0.00 Bohr magnetons per cell
Relative energy among the computed polymorphs ... 0.000 eV/atom